# 1
{
  "formula": "Li2Tm2HfS6",
  "functional": "PBE-GGA",
  "state": "optimized geometry",
  "crystal_system": "monoclinic",
  "space_group": "C2/m",
  "e_form_raw_kj_per_mol_atoms": -171,
  "lattice_angstrom": [[3.3132, -5.6931, 0.0000], [3.3132, 5.6931, 0.0000], [-2.0785, 0.0000, 6.1770]],
  "species": ["Li", "Li", "Tm", "Tm", "Hf", "S", "S", "S", "S", "S", "S"],
  "fractional_positions": [[0.1606, 0.8394, 0.0000], [0.8394, 0.1606, 0.0000], [0.3340, 0.6660, 0.5000], [0.6660, 0.3340, 0.5000], [0.0000, 0.0000, 0.5000], [0.0721, 0.3944, 0.7393], [0.2383, 0.2383, 0.2607], [0.3944, 0.0721, 0.7393], [0.6056, 0.9279, 0.2607], [0.7617, 0.7617, 0.7393], [0.9279, 0.6056, 0.2607]]
}

---

# 2
{
  "formula": "Li3Tm3HfS8",
  "functional": "PBE-GGA",
  "state": "optimized geometry",
  "crystal_system": "trigonal",
  "space_group": "R-3m",
  "e_form_raw_kj_per_mol_atoms": -175,
  "lattice_angstrom": [[3.8297, 2.2111, 6.1612], [-3.8297, 2.2111, 6.1612], [0.0000, -4.4222, 6.1612]],
  "species": ["Li", "Li", "Li", "Tm", "Tm", "Tm", "Hf", "S", "S", "S", "S", "S", "S", "S", "S"],
  "fractional_positions": [[0.0000, 0.5000, 0.5000], [0.5000, 0.0000, 0.5000], [0.5000, 0.5000, 0.0000], [0.0000, 0.0000, 0.5000], [0.0000, 0.5000, 0.0000], [0.5000, 0.0000, 0.0000], [0.5000, 0.5000, 0.5000], [0.2493, 0.2493, 0.2493], [0.2617, 0.2617, 0.7377], [0.2617, 0.7377, 0.2617], [0.2623, 0.7383, 0.7383], [0.7377, 0.2617, 0.2617], [0.7383, 0.2623, 0.7383], [0.7383, 0.7383, 0.2623], [0.7507, 0.7507, 0.7507]]
}